# 1
PBE-GGA CsMnTeI2, relaxed; SG = P4/mmm, No. 123; spin magnetization = 0.8041 μB per atom; raw formation energy = -593 meV per atom
1.0
-3.4348 -4.3668 -2.1255
-2.0900 -1.0208 5.4748
-3.9630 3.5329 -0.8541
Cs I Te Mn
1 2 1 1
direct
0.5000 0.5000 0.5000
0.5000 0.0000 0.0000
0.0000 0.5000 0.0000
0.0000 0.0000 0.5000
0.0000 0.0000 0.0000

=====

# 2
PBE-GGA CsMnTeI6, relaxed; SG = C2, No. 5; spin magnetization = 0.4415 μB per atom; raw formation energy = -484 meV per atom
1.0
8.2939 -0.0174 0.2874
4.1608 6.5278 0.1461
0.2524 -0.0042 8.5526
I Cs Mn Te
6 1 1 1
direct
0.9807 0.6396 0.6830
0.6438 0.3935 0.7190
0.3855 0.9874 0.6997
0.3795 0.6398 0.3171
0.6273 0.9873 0.3003
0.9626 0.3932 0.2811
0.0077 0.9848 0.9998
0.6796 0.6404 0.4999
0.3330 0.3340 0.5000

=====

# 3
PBE-GGA CsMnTe2I, relaxed; SG = P4/mmm, No. 123; spin magnetization = 0.7382 μB per atom; raw formation energy = -439 meV per atom
1.0
-1.9920 0.9692 4.8872
-4.1988 -3.1600 -1.0847
3.1150 -4.9090 2.2432
Te I Cs Mn
2 1 1 1
direct
0.0000 0.5000 0.0000
0.5000 0.0000 0.0000
0.0000 0.0000 0.5000
0.5000 0.5000 0.5000
0.0000 0.0000 0.0000

=====

# 4
PBE-GGA Cs3Mn2TlI8, relaxed; SG = P-3m1, No. 164; spin magnetization = 0.7143 μB per atom; raw formation energy = -954 meV per atom
1.0
8.8190 0.0000 0.0000
-4.4095 7.6374 0.0000
0.0000 0.0000 10.8954
Mn I Cs Tl
2 8 3 1
direct
0.6667 0.3333 0.7999
0.3333 0.6667 0.2001
0.3423 0.1712 0.6991
0.6667 0.3333 0.0405
0.1712 0.3423 0.3009
0.6577 0.8288 0.3009
0.8288 0.1712 0.6991
0.1712 0.8288 0.3009
0.8288 0.6577 0.6991
0.3333 0.6667 0.9595
0.0000 0.0000 0.0000
0.3333 0.6667 0.6150
0.6667 0.3333 0.3850
0.0000 0.0000 0.5000

=====

# 5
PBE-GGA CsMnTl2I8, relaxed; SG = P-1, No. 2; spin magnetization = 0.2651 μB per atom; raw formation energy = -563 meV per atom
1.0
7.8121 -0.0160 -0.0059
-0.0293 6.4827 0.8451
0.0051 1.4585 10.2280
I Tl Cs Mn
8 2 1 1
direct
0.2471 0.8308 0.8732
0.0013 0.6627 0.2167
0.9987 0.3373 0.7833
0.7500 0.8263 0.8754
0.7529 0.1692 0.1268
0.4997 0.7489 0.5052
0.2500 0.1737 0.1246
0.5003 0.2511 0.4948
0.4946 0.7086 0.1708
0.5054 0.2914 0.8292
0.0000 0.0000 0.5000
0.0000 0.0000 0.0000

=====

# 6
PBE-GGA CsMnTlI4, relaxed; SG = P2_1/m, No. 11; spin magnetization = 0.7143 μB per atom; raw formation energy = -848 meV per atom
1.0
8.0674 0.0000 -0.0545
0.0000 8.3289 0.0000
-3.2342 0.0000 9.9595
I Tl Mn Cs
8 2 2 2
direct
0.0067 0.5037 0.7384
0.9933 0.4963 0.2616
0.4055 0.7500 0.1435
0.9933 0.0037 0.2616
0.5945 0.2500 0.8565
0.5864 0.2500 0.4296
0.4136 0.7500 0.5704
0.0067 0.9963 0.7384
0.2291 0.2500 0.5500
0.7709 0.7500 0.4500
0.7878 0.2500 0.6875
0.2122 0.7500 0.3125
0.2641 0.2500 0.0670
0.7359 0.7500 0.9330

=====

# 7
PBE-GGA CsMn2TlI6, relaxed; SG = C2/c, No. 15; spin magnetization = 1.0000 μB per atom; raw formation energy = -710 meV per atom
1.0
-2.4632 10.3355 2.5898
-7.1464 1.3743 -8.1631
-4.6907 -4.2853 5.6142
I Mn Tl Cs
12 4 2 2
direct
0.7009 0.5304 0.6640
0.8278 0.8918 0.9966
0.5304 0.7009 0.1640
0.1082 0.1722 0.5034
0.1722 0.1082 0.0034
0.4077 0.9029 0.6684
0.0971 0.5923 0.8316
0.4696 0.2991 0.8360
0.2991 0.4696 0.3360
0.5923 0.0971 0.3316
0.9029 0.4077 0.1684
0.8918 0.8278 0.4966
0.3006 0.1266 0.7567
0.8734 0.6994 0.7433
0.1266 0.3006 0.2567
0.6994 0.8734 0.2433
0.6041 0.3959 0.2500
0.3959 0.6041 0.7500
0.8166 0.1834 0.7500
0.1834 0.8166 0.2500

=====

# 8
PBE-GGA CsMn4Tl3I12, relaxed; SG = R32, No. 155; spin magnetization = 0.9999 μB per atom; raw formation energy = -534 meV per atom
1.0
-4.3685 4.5190 -8.8159
-8.3952 -4.4239 5.2130
2.9034 8.3977 6.1866
I Cs Tl Mn
12 1 3 4
direct
0.6598 0.8001 0.0508
0.8001 0.0508 0.6598
0.9006 0.5000 0.0994
0.0994 0.9006 0.5000
0.6523 0.5000 0.3477
0.3402 0.9492 0.1999
0.5000 0.0994 0.9006
0.3477 0.6523 0.5000
0.0508 0.6598 0.8001
0.1999 0.3402 0.9492
0.5000 0.3477 0.6523
0.9492 0.1999 0.3402
0.0000 0.0000 0.0000
0.5468 0.4532 0.0000
0.0000 0.5468 0.4532
0.4532 0.0000 0.5468
0.5000 0.9463 0.0537
0.9463 0.0537 0.5000
0.0537 0.5000 0.9463
0.5000 0.5000 0.5000